Material: ScBe2Br
Method: DFT, PBEsol
State: optimized geometry

Computed properties:
Volume in Å³ per atom: 15.6
Crystal system: orthorhombic
Formation energy without anion corrections in eV/atom: 0.377
VASP energy in eV per atom: -3.742

abc: 4.5902 4.5973 5.9207
angles: 90.00 90.00 90.00
Space group Cmmm (No. 65)
Unique sites:
Sc1 0.0000 0.0000 0.0000
Be1 0.0000 0.5000 0.2586
Br1 0.0000 0.0000 0.5000

---

Material: ScBeBr2
Method: DFT, PBEsol
State: optimized geometry

Computed properties:
Volume in Å³ per atom: 21.5
Crystal system: monoclinic
Formation energy without anion corrections in eV/atom: -0.138
VASP energy in eV per atom: -3.724

abc: 3.5337 4.3667 5.5823
angles: 90.00 91.23 90.00
Space group P2/m (No. 10)
Unique sites:
Sc1 0.0000 0.0000 0.0000
Be1 0.5000 0.0000 0.5000
Br1 0.2336 0.5000 0.2508